This record from the Alexandria database describes crystalline AcMn2ClO4 at its relaxed geometry. The functional is PBE with a Hubbard U.

## Properties
As for the crystal system: tetragonal. For the total energy, the calculation gives -0.252 Ha/atom. The size of the total moment is 8.0 μB per formula unit.

The structure in CIF format:
```
data_AcMn2ClO4
_cell_length_a 3.833
_cell_length_b 3.833
_cell_length_c 8.902
_cell_angle_alpha 90.00
_cell_angle_beta 90.00
_cell_angle_gamma 90.00
_space_group_name_H-M_alt 'P 4/m m m'
_space_group_IT_number 123
_space_group_name_Hall '-P 4 2'
loop_
_atom_site_label
_atom_site_type_symbol
_atom_site_fract_x
_atom_site_fract_y
_atom_site_fract_z
Ac1 Ac 0.000 0.000 0.000
Mn1 Mn 0.500 0.500 0.257
Cl1 Cl 0.000 0.000 0.500
O1 O 0.000 0.500 0.186
```